[1]
# TaGaSeN2, PBEsol geometry, DFT SCAN
data_TaGaSeN2
_chemical_formula_sum 'Ta1 Ga1 Se1 N2'
_symmetry_space_group_name_H-M 'P 1'
_symmetry_Int_Tables_number 1
_cell_length_a 3.968
_cell_length_b 3.968
_cell_length_c 5.345
_cell_angle_alpha 90.00
_cell_angle_beta 90.00
_cell_angle_gamma 90.00
loop_
_symmetry_equiv_pos_as_xyz
'x,y,z'
loop_
_atom_site_label
_atom_site_type_symbol
_atom_site_fract_x
_atom_site_fract_y
_atom_site_fract_z
Se1 Se 0.000 0.000 0.500
Ta1 Ta 0.000 0.000 0.000
N1 N 0.000 0.500 0.000
N2 N 0.500 0.000 0.000
Ga1 Ga 0.500 0.500 0.500
# - energy relative to the elements, uncorrected (eV/atom) = 0.0631
# - SG = No. 123
# - N(E_F) (states/eV per cell) = 2.93

[2]
# Sr2AlBr, PBEsol geometry, DFT SCAN
data_Sr2AlBr
_chemical_formula_sum 'Sr4 Al2 Br2'
_symmetry_space_group_name_H-M 'P 1'
_symmetry_Int_Tables_number 1
_cell_length_a 7.258
_cell_length_b 7.258
_cell_length_c 7.258
_cell_angle_alpha 108.31
_cell_angle_beta 110.05
_cell_angle_gamma 110.05
loop_
_symmetry_equiv_pos_as_xyz
'x,y,z'
loop_
_atom_site_label
_atom_site_type_symbol
_atom_site_fract_x
_atom_site_fract_y
_atom_site_fract_z
Al1 Al 0.500 0.250 0.750
Al2 Al 0.000 0.500 0.500
Sr1 Sr 0.515 0.640 0.625
Sr2 Sr 0.985 0.875 0.360
Sr3 Sr 0.485 0.110 0.125
Sr4 Sr 0.015 0.375 0.890
Br1 Br 0.500 0.750 0.250
Br2 Br 0.000 0.000 0.000
# - energy relative to the elements, uncorrected (eV/atom) = -0.6069
# - SG = No. 122
# - N(E_F) (states/eV per cell) = 5.57